Entry 1:
Density functional theory data (PBE) for a relaxed structure of Li2PtRh2O6.

Lattice parameters (Å, degrees): 5.3923 9.3338 5.1499 90.00 111.16 90.00
Last column: nearest neighbours and their distance in Å.
Space group C2/m (No. 12)
Unique sites:
Li 0.0000 0.1652 0.0000 [4 per cell]  6 O 2.20-2.27
Pt 0.0000 0.0000 0.5000 [2 per cell]  6 O 2.05-2.08
Rh 0.0000 0.3347 0.5000 [4 per cell]  6 O 2.06-2.10
O 0.2363 0.1688 0.7145 [8 per cell]  2 Rh 2.06-2.09, 1 Pt 2.08, 2 Li 2.25-2.27
O 0.2493 0.0000 0.2793 [4 per cell]  1 Pt 2.05, 2 Rh 2.10, 2 Li 2.20

Values from the calculation:
The value obtained for the formation energy from raw total energies is -11.02 eV per formula unit. For the total magnetic moment, the calculation gives 0.0 μB/cell.

Entry 2:
Density functional theory data (PBE) for a relaxed structure of LiPtRhO6.

Lattice parameters (Å, degrees): 5.2248 5.2248 8.8747 90.00 90.00 120.00
Last column: nearest neighbours and their distance in Å.
Space group P-31c (No. 163)
Unique sites:
Li 0.0000 0.0000 0.0000 [2 per cell]  6 O 2.20
Pt 0.3333 0.6667 0.2500 [2 per cell]  6 O 1.99
Rh 0.3333 0.6667 0.7500 [2 per cell]  6 O 1.98
O 0.0019 0.3590 0.6315 [12 per cell]  1 Rh 1.98, 1 Pt 1.99, 1 Li 2.20

Values from the calculation:
The value obtained for the formation energy from raw total energies is -5.49 eV per formula unit. For the total magnetic moment, the calculation gives 7.8 μB/cell.

Entry 3:
Density functional theory data (PBE) for a relaxed structure of LiPtRhO4.

Lattice parameters (Å, degrees): 6.1355 6.2024 8.7328 90.00 90.00 90.00
Last column: nearest neighbours and their distance in Å.
Space group Imma (No. 74)
Unique sites:
Li 0.0000 0.2500 0.1324 [4 per cell]  4 O 2.07-2.13
Pt 0.0000 0.0000 0.5000 [4 per cell]  6 O 2.06
Rh 0.2500 0.2500 0.7500 [4 per cell]  6 O 2.07-2.08
O 0.0000 0.0262 0.7349 [8 per cell]  1 Pt 2.06, 1 Li 2.07, 2 Rh 2.07
O 0.2209 0.2500 0.5127 [8 per cell]  2 Pt 2.06, 1 Rh 2.08, 1 Li 2.13

Values from the calculation:
The value obtained for the formation energy from raw total energies is -6.75 eV per formula unit. For the total magnetic moment, the calculation gives 0.0 μB/cell.

Entry 4:
Density functional theory data (PBE) for a relaxed structure of Li3Pt2RhO6.

Lattice parameters (Å, degrees): 5.6933 9.2043 5.3612 90.00 116.03 90.00
Last column: nearest neighbours and their distance in Å.
Space group C2/m (No. 12)
Unique sites:
Li 0.0000 0.0000 0.0000 [2 per cell]  4 O 2.18
Li 0.0000 0.3248 0.0000 [4 per cell]  6 O 2.16-2.26
Pt 0.0000 0.1704 0.5000 [4 per cell]  4 O 2.05-2.09
Rh 0.0000 0.5000 0.5000 [2 per cell]  6 O 2.04-2.15
O 0.2174 0.3359 0.7528 [8 per cell]  1 Rh 2.04, 1 Pt 2.05, 3 Li 2.16-2.18
O 0.2481 0.5000 0.2916 [4 per cell]  2 Pt 2.09, 1 Rh 2.15, 2 Li 2.26

Values from the calculation:
The value obtained for the formation energy from raw total energies is -11.22 eV per formula unit. For the total magnetic moment, the calculation gives 0.0 μB/cell.

Entry 5:
Density functional theory data (PBE) for a relaxed structure of Li2PtRhO4.

Lattice parameters (Å, degrees): 5.5278 3.0069 5.5809 90.00 110.40 90.00
Last column: nearest neighbours and their distance in Å.
Space group P2/m (No. 10)
Unique sites:
Li 0.0000 0.0000 0.0000 [1 per cell]  6 O 2.13-2.25
Li 0.5000 0.5000 0.5000 [1 per cell]  4 O 2.19
Pt 0.0000 0.0000 0.5000 [1 per cell]  4 O 2.04
Rh 0.5000 0.5000 0.0000 [1 per cell]  6 O 2.03-2.07
O 0.1181 0.5000 0.7618 [2 per cell]  2 Pt 2.04, 1 Rh 2.07, 2 Li 2.25
O 0.4066 0.0000 0.1957 [2 per cell]  2 Rh 2.03, 3 Li 2.13-2.19

Values from the calculation:
The value obtained for the formation energy from raw total energies is -8.57 eV per formula unit. For the total magnetic moment, the calculation gives 0.8 μB/cell.

Entry 6:
Density functional theory data (PBE) for a relaxed structure of Li2RuPtO6.

Lattice parameters (Å, degrees): 5.5319 5.5319 4.0576 90.00 90.00 90.00
Last column: nearest neighbours and their distance in Å.
Space group P4mm (No. 99)
Unique sites:
Li 0.0000 0.5000 0.0000 [2 per cell]  4 O 2.05
Ru 0.0000 0.0000 0.7349 [1 per cell]  5 O 1.75-1.94
Pt 0.5000 0.5000 0.7784 [1 per cell]  6 O 1.96-2.09
O 0.0000 0.0000 0.3029 [1 per cell]  1 Ru 1.75
O 0.2412 0.2412 0.8458 [4 per cell]  1 Ru 1.94, 1 Pt 2.04, 2 Li 2.05
O 0.5000 0.5000 0.2945 [1 per cell]  2 Pt 1.96-2.09

Values from the calculation:
The value obtained for the formation energy from raw total energies is -8.36 eV per formula unit. For the total magnetic moment, the calculation gives 2.9 μB/cell.

Entry 7:
Density functional theory data (PBE) for a relaxed structure of LiRuPtO6.

Lattice parameters (Å, degrees): 5.2382 5.2382 9.1034 90.00 90.00 120.00
Last column: nearest neighbours and their distance in Å.
Space group P-31c (No. 163)
Unique sites:
Li 0.0000 0.0000 0.0000 [2 per cell]  6 O 2.29
Ru 0.3333 0.6667 0.2500 [2 per cell]  6 O 1.93
Pt 0.3333 0.6667 0.7500 [2 per cell]  6 O 1.99
O 0.0086 0.3744 0.1348 [12 per cell]  1 Ru 1.93, 1 Pt 1.99

Values from the calculation:
The value obtained for the formation energy from raw total energies is -6.93 eV per formula unit. For the total magnetic moment, the calculation gives 2.1 μB/cell.

Entry 8:
Density functional theory data (PBE) for a relaxed structure of LiPtS2O8.

Lattice parameters (Å, degrees): 8.4349 5.1745 6.8133 90.00 96.53 90.00
Last column: nearest neighbours and their distance in Å.
Space group C2/m (No. 12)
Unique sites:
Li 0.0000 0.0000 0.0000 [2 per cell]  2 O 2.02
Pt 0.0000 0.0000 0.5000 [2 per cell]  4 O 2.08
S 0.1560 0.5000 0.7254 [4 per cell]  4 O 1.44-1.55
O 0.0455 0.2621 0.7300 [8 per cell]  1 S 1.55
O 0.2280 0.5000 0.5397 [4 per cell]  1 S 1.46
O 0.2359 0.0000 0.0944 [4 per cell]  1 S 1.44

Values from the calculation:
The value obtained for the formation energy from raw total energies is -13.93 eV per formula unit. For the total magnetic moment, the calculation gives 2.0 μB/cell.

Entry 9:
Density functional theory data (PBE) for a relaxed structure of LiSbPtO4.

Lattice parameters (Å, degrees): 5.9600 6.0553 10.4596 90.00 90.00 90.00
Last column: nearest neighbours and their distance in Å.
Space group Imma (No. 74)
Unique sites:
Li 0.0000 0.2500 0.1497 [4 per cell]  2 O 2.08
Sb 0.0000 0.0000 0.5000 [4 per cell]  6 O 2.04-2.08
Pt 0.2500 0.2500 0.7500 [4 per cell]  4 O 2.06
O 0.0000 0.0342 0.6977 [8 per cell]  2 Pt 2.06, 1 Sb 2.08
O 0.2238 0.2500 0.4718 [8 per cell]  2 Sb 2.04, 1 Li 2.08

Values from the calculation:
The value obtained for the formation energy from raw total energies is -8.12 eV per formula unit. For the total magnetic moment, the calculation gives 0.0 μB/cell.

Entry 10:
Density functional theory data (PBE) for a relaxed structure of LiSbPtO6.

Lattice parameters (Å, degrees): 5.2696 5.2696 9.1028 90.00 90.00 120.00
Last column: nearest neighbours and their distance in Å.
Space group P-31c (No. 163)
Unique sites:
Li 0.0000 0.0000 0.0000 [2 per cell]  6 O 2.23
Sb 0.3333 0.6667 0.2500 [2 per cell]  6 O 2.03
Pt 0.3333 0.6667 0.7500 [2 per cell]  6 O 1.99
O 0.0056 0.3580 0.6329 [12 per cell]  1 Pt 1.99, 1 Sb 2.03

Values from the calculation:
The value obtained for the formation energy from raw total energies is -8.48 eV per formula unit. For the total magnetic moment, the calculation gives 3.5 μB/cell.

Entry 11:
Density functional theory data (PBE) for a relaxed structure of Li3Sc3PtO8.

Lattice parameters (Å, degrees): 6.2216 6.2216 14.8696 90.00 90.00 120.00
Last column: nearest neighbours and their distance in Å.
Space group R-3m (No. 166, hexagonal axes)
Unique sites:
Li 0.0000 0.5000 0.0000 [9 per cell]  6 O 2.22-2.26
Sc 0.0000 0.5000 0.5000 [9 per cell]  6 O 2.11-2.15
Pt 0.0000 0.0000 0.5000 [3 per cell]  6 O 2.07
O 0.0000 0.0000 0.2410 [6 per cell]  3 Sc 2.11, 3 Li 2.26
O 0.0115 0.5058 0.2425 [18 per cell]  1 Pt 2.07, 2 Sc 2.15, 2 Li 2.22

Values from the calculation:
The value obtained for the formation energy from raw total energies is -37.01 eV per formula unit. For the total magnetic moment, the calculation gives 0.0 μB/cell.

Entry 12:
Density functional theory data (PBE) for a relaxed structure of LiSc2PtO.

Lattice parameters (Å, degrees): 4.3914 4.3914 3.7902 90.00 90.00 90.00
Last column: nearest neighbours and their distance in Å.
Space group P4/mmm (No. 123)
Unique sites:
Li 0.0000 0.0000 0.0000 [1 per cell]  2 O 1.90
Sc 0.0000 0.5000 0.5000 [2 per cell]  2 O 2.20
Pt 0.5000 0.5000 0.0000 [1 per cell]  8 Sc 2.90, 4 Li 3.11
O 0.0000 0.0000 0.5000 [1 per cell]  2 Li 1.90

Values from the calculation:
The value obtained for the formation energy from raw total energies is -8.58 eV per formula unit. For the total magnetic moment, the calculation gives 0.0 μB/cell.

Entry 13:
Density functional theory data (PBE) for a relaxed structure of Li2ScPtO.

Lattice parameters (Å, degrees): 3.9913 3.9913 4.2216 90.00 90.00 90.00
Last column: nearest neighbours and their distance in Å.
Space group P4/mmm (No. 123)
Unique sites:
Li 0.0000 0.5000 0.0000 [2 per cell]  2 O 2.00
Sc 0.0000 0.0000 0.5000 [1 per cell]  2 O 2.11
Pt 0.5000 0.5000 0.5000 [1 per cell]  4 Sc 2.82, 8 Li 2.90
O 0.0000 0.0000 0.0000 [1 per cell]  4 Li 2.00, 2 Sc 2.11

Values from the calculation:
The value obtained for the formation energy from raw total energies is -7.56 eV per formula unit. For the total magnetic moment, the calculation gives 0.0 μB/cell.

Entry 14:
Density functional theory data (PBE) for a relaxed structure of LiPt2SeO.

Lattice parameters (Å, degrees): 4.3141 4.3141 4.2021 90.00 90.00 90.00
Last column: nearest neighbours and their distance in Å.
Space group P4/mmm (No. 123)
Unique sites:
Li 0.0000 0.0000 0.0000 [1 per cell]  2 Se 2.10, 4 Pt 2.16
Pt 0.0000 0.5000 0.0000 [2 per cell]  2 Li 2.16
Se 0.0000 0.0000 0.5000 [1 per cell]  2 Li 2.10
O 0.5000 0.5000 0.5000 [1 per cell]  8 Pt 3.01, 4 Se 3.05

Values from the calculation:
The value obtained for the formation energy from raw total energies is 4.99 eV per formula unit. For the total magnetic moment, the calculation gives 1.2 μB/cell.

Entry 15:
Density functional theory data (PBE) for a relaxed structure of LiSmPtO4.

Lattice parameters (Å, degrees): 6.3972 7.2568 8.7766 90.00 90.00 90.00
Last column: nearest neighbours and their distance in Å.
Space group Imma (No. 74)
Unique sites:
Li 0.0000 0.2500 0.0615 [4 per cell]  2 O 1.86
Sm 0.0000 0.0000 0.5000 [4 per cell]  6 O 2.33-2.38
Pt 0.2500 0.2500 0.7500 [4 per cell]  6 O 2.08
O 0.0000 0.0672 0.7651 [8 per cell]  2 Pt 2.08
O 0.2285 0.2500 0.5133 [8 per cell]  1 Li 1.86

Values from the calculation:
The value obtained for the formation energy from raw total energies is -12.82 eV per formula unit. For the total magnetic moment, the calculation gives 0.0 μB/cell.

Entry 16:
Density functional theory data (PBE) for a relaxed structure of Li2Sm2PtO6.

Lattice parameters (Å, degrees): 5.5938 5.5938 15.2519 90.00 90.00 120.00
Last column: nearest neighbours and their distance in Å.
Space group R-3m (No. 166, hexagonal axes)
Unique sites:
Li 0.0000 0.0000 0.0775 [6 per cell]  3 O 1.76
Sm 0.0000 0.0000 0.2900 [6 per cell]  3 O 2.33
Pt 0.0000 0.0000 0.5000 [3 per cell]  6 O 2.03
O 0.0295 0.5147 0.2585 [18 per cell]  1 Li 1.76

Values from the calculation:
The value obtained for the formation energy from raw total energies is -22.06 eV per formula unit. For the total magnetic moment, the calculation gives 0.0 μB/cell.

Entry 17:
Density functional theory data (PBE) for a relaxed structure of LiSm2PtO6.

Lattice parameters (Å, degrees): 5.4056 5.8522 9.3368 90.00 124.66 90.00
Last column: nearest neighbours and their distance in Å.
Space group P2_1/c (No. 14)
Unique sites:
Li 0.0000 0.0000 0.0000 [2 per cell]  6 O 2.04-2.16
Sm 0.2274 0.0794 0.7487 [4 per cell]  6 O 2.33-2.56
Pt 0.5000 0.0000 0.5000 [2 per cell]  6 O 2.00-2.03
O 0.1403 0.1857 0.4464 [4 per cell]  1 Pt 2.03, 1 Li 2.15
O 0.2688 0.7050 0.4445 [4 per cell]  1 Pt 2.02, 1 Li 2.16
O 0.3603 0.0346 0.2515 [4 per cell]  1 Pt 2.00, 1 Li 2.04

Values from the calculation:
The value obtained for the formation energy from raw total energies is -22.27 eV per formula unit. For the total magnetic moment, the calculation gives 0.0 μB/cell.

Entry 18:
Density functional theory data (PBE) for a relaxed structure of LiSnPt2O.

Lattice parameters (Å, degrees): 4.9425 4.9425 5.5825 90.00 90.00 90.00
Last column: nearest neighbours and their distance in Å.
Space group P4/mmm (No. 123)
Unique sites:
Li 0.0000 0.0000 0.0000 [1 per cell]  2 Sn 2.79
Sn 0.0000 0.0000 0.5000 [1 per cell]  4 Pt 2.47
Pt 0.0000 0.5000 0.5000 [2 per cell]  2 Sn 2.47
O 0.5000 0.5000 0.0000 [1 per cell]  4 Li 3.49, 8 Pt 3.73

Values from the calculation:
The value obtained for the formation energy from raw total energies is 5.37 eV per formula unit. For the total magnetic moment, the calculation gives 0.2 μB/cell.

Entry 19:
Density functional theory data (PBE) for a relaxed structure of LiSnPtO4.

Lattice parameters (Å, degrees): 6.1860 6.2550 9.4032 90.00 90.00 90.00
Last column: nearest neighbours and their distance in Å.
Space group Imma (No. 74)
Unique sites:
Li 0.0000 0.2500 0.1289 [4 per cell]  4 O 2.04-2.22
Sn 0.0000 0.0000 0.5000 [4 per cell]  6 O 2.10-2.14
Pt 0.2500 0.2500 0.7500 [4 per cell]  4 O 2.07
O 0.0000 0.0316 0.7271 [8 per cell]  2 Pt 2.07, 1 Sn 2.14, 1 Li 2.22
O 0.2266 0.2500 0.4923 [8 per cell]  1 Li 2.04, 2 Sn 2.10

Values from the calculation:
The value obtained for the formation energy from raw total energies is -8.49 eV per formula unit. For the total magnetic moment, the calculation gives 4.0 μB/cell.

Entry 20:
Density functional theory data (PBE) for a relaxed structure of Sr2LiPtO.

Lattice parameters (Å, degrees): 6.1037 6.1037 3.9680 90.00 90.00 90.00
Last column: nearest neighbours and their distance in Å.
Space group P4/mmm (No. 123)
Unique sites:
Sr 0.0000 0.5000 0.0000 [2 per cell]  2 Pt 3.05
Li 0.0000 0.0000 0.5000 [1 per cell]  8 Sr 3.64, 2 Li 3.97
Pt 0.5000 0.5000 0.0000 [1 per cell]  2 O 1.98
O 0.5000 0.5000 0.5000 [1 per cell]  2 Pt 1.98

Values from the calculation:
The value obtained for the formation energy from raw total energies is -1.86 eV per formula unit. For the total magnetic moment, the calculation gives 0.0 μB/cell.